Below is a geometry-optimized Ca5Sn2N6 structure, with properties calculated at the PBE-GGA level.

Structure (extended XYZ):
```
26
Lattice="5.5126 -3.0175 0.0000 5.5126 3.0175 0.0000 -1.2516 0.0000 13.8838" Properties=species:S:1:pos:R:3 pbc="T T T"
Ca 4.5739 2.2938 10.4128
Ca 3.2137 1.5164 13.4726
Ca 3.5376 0.5500 3.9442
Ca 5.9341 1.5164 7.3531
Ca 2.9118 -0.5500 10.8860
Ca 6.8618 0.5500 2.9977
Ca 3.8395 -1.5164 6.5307
Ca 6.2360 -0.5500 9.9396
Ca 6.5599 -1.5164 0.4112
Ca 5.1997 -2.2938 3.4709
Sn 2.4977 0.8212 8.1490
Sn 3.1235 -0.8212 1.2072
Sn 6.6501 0.8212 12.6766
Sn 7.2759 -0.8212 5.7347
N 0.9751 0.1016 9.3724
N 1.6008 -0.1016 2.4305
N 2.0899 0.0975 6.1640
N 1.4641 -0.0975 13.1059
N 4.3619 0.3562 8.8276
N 4.7859 0.3562 11.9981
N 4.9876 -0.3562 1.8857
N 5.4117 -0.3562 5.0562
N 8.3095 0.0975 0.7779
N 7.6837 -0.0975 7.7198
N 8.1728 0.1016 11.4532
N 8.7985 -0.1016 4.5114
```

Below is a geometry-optimized Ca7SnN6 structure, with properties calculated at the PBE-GGA level.

Structure (extended XYZ):
```
28
Lattice="-3.1876 5.9285 6.3916 3.1876 -5.9285 6.3916 3.1876 5.9285 -6.3916" Properties=species:S:1:pos:R:3 pbc="T T T"
Ca 1.3759 0.5656 0.0000
Ca 3.9717 2.6362 -1.6153
Ca 3.9717 -2.6362 4.7763
Ca 0.0000 0.0000 3.1958
Ca 3.9717 2.6362 1.6153
Ca 0.7841 3.2924 1.6153
Ca 1.3759 -0.5656 6.3916
Ca 1.8117 6.4941 0.0000
Ca 2.4035 2.6362 4.7763
Ca -0.7841 3.2924 4.7763
Ca 0.0000 0.0000 9.5874
Ca -0.7841 8.5647 1.6153
Ca -0.7841 3.2924 8.0069
Ca 1.8117 5.3630 6.3916
Sn 3.1876 0.0000 3.1958
Sn 0.0000 5.9285 3.1958
N 4.4804 -1.3559 2.2550
N 2.4169 -4.1299 6.3916
N 1.8947 -1.3559 4.1366
N 1.8947 1.3559 2.2550
N 2.4169 4.1299 0.0000
N 1.2928 7.2845 -2.2550
N 1.8947 -1.3559 8.6465
N 0.7707 1.7987 6.3916
N 1.2928 4.5726 4.1366
N 1.2928 7.2845 2.2550
N 0.7707 10.0584 0.0000
N -1.2928 7.2845 4.1366
```

Below is a geometry-optimized CaSn3N structure, with properties calculated at the PBE-GGA level.

Structure (extended XYZ):
```
5
Lattice="4.9010 0.0000 0.0000 0.0000 4.9010 0.0000 0.0000 0.0000 4.9010" Properties=species:S:1:pos:R:3 pbc="T T T"
Ca 0.0000 0.0000 0.0000
Sn 0.0000 2.4505 2.4505
Sn 2.4505 0.0000 2.4505
Sn 2.4505 2.4505 0.0000
N 2.4505 2.4505 2.4505
```

Offset from the most stable computed form: 0.0 meV per atom

Below is a geometry-optimized CaSnN structure, with properties calculated at the PBE-GGA level.

Structure (extended XYZ):
```
12
Lattice="5.5055 0.0000 0.0000 0.0000 14.9057 0.0000 0.0000 0.0000 3.6425" Properties=species:S:1:pos:R:3 pbc="T T T"
Ca 0.8829 2.7213 0.0000
Ca 1.8698 10.1742 1.8212
Ca 3.6356 4.7315 1.8212
Ca 4.6226 12.1844 0.0000
Sn 0.8341 6.2120 0.0000
Sn 1.9186 13.6648 1.8212
Sn 3.5869 1.2408 1.8212
Sn 4.6713 8.6937 0.0000
N 0.4566 10.2563 0.0000
N 2.2962 2.8035 1.8212
N 3.2093 12.1022 1.8212
N 5.0489 4.6494 0.0000
```

Below is a geometry-optimized Ca2SnN structure, with properties calculated at the PBE-GGA level.

Structure (extended XYZ):
```
16
Lattice="7.1829 0.0000 0.0000 0.0000 7.1829 0.0000 0.0000 0.0000 7.1829" Properties=species:S:1:pos:R:3 pbc="T T T"
Ca 1.7957 1.7957 1.7957
Ca 1.7957 1.7957 5.3872
Ca 1.7957 5.3872 1.7957
Ca 1.7957 5.3872 5.3872
Ca 5.3872 1.7957 1.7957
Ca 5.3872 1.7957 5.3872
Ca 5.3872 5.3872 1.7957
Ca 5.3872 5.3872 5.3872
Sn 0.0000 0.0000 0.0000
Sn 0.0000 3.5914 3.5914
Sn 3.5914 0.0000 3.5914
Sn 3.5914 3.5914 0.0000
N 0.0000 0.0000 3.5914
N 0.0000 3.5914 0.0000
N 3.5914 0.0000 0.0000
N 3.5914 3.5914 3.5914
```

Below is a geometry-optimized Ca3Sn2N structure, with properties calculated at the PBE-GGA level.

Structure (extended XYZ):
```
6
Lattice="3.4607 1.9980 3.5948 -3.4607 1.9980 3.5948 0.0000 -3.9961 3.5948" Properties=species:S:1:pos:R:3 pbc="T T T"
Ca -1.7304 -0.9990 3.5948
Ca -1.7304 0.9990 7.1896
Ca 0.0000 1.9980 3.5948
Sn 0.0000 0.0000 1.2976
Sn 0.0000 0.0000 9.4868
N 0.0000 0.0000 5.3922
```

Below is a geometry-optimized Ca2SnN structure, with properties calculated at the PBE-GGA level.

Structure (extended XYZ):
```
8
Lattice="6.1175 0.0000 0.0000 0.0000 3.6154 0.0000 -2.4052 0.0000 8.3994" Properties=species:S:1:pos:R:3 pbc="T T T"
Ca -0.7021 0.9038 2.9106
Ca 1.3240 0.9038 5.4256
Ca 2.3883 2.7115 2.9738
Ca 4.4143 2.7115 5.4888
Sn 1.8076 0.9038 0.1119
Sn 1.9046 2.7115 8.2875
N 0.3093 2.7115 4.1552
N 3.4029 0.9038 4.2442
```

Below is a geometry-optimized CaSnN structure, with properties calculated at the PBE-GGA level.

Structure (extended XYZ):
```
12
Lattice="5.9449 0.0000 0.0000 0.0000 7.4948 0.0000 0.0000 0.0000 5.6664" Properties=species:S:1:pos:R:3 pbc="T T T"
Ca 0.0000 0.0000 0.0000
Ca 0.0000 3.7474 0.0000
Ca 2.9724 0.0000 2.8332
Ca 2.9724 3.7474 2.8332
Sn 0.0297 1.8737 2.7893
Sn 2.9427 5.6211 5.6225
Sn 3.0021 1.8737 0.0439
Sn 5.9152 5.6211 2.8771
N 1.0994 1.8737 0.9473
N 1.8730 5.6211 3.7805
N 4.0719 1.8737 1.8859
N 4.8455 5.6211 4.7191
```

no.,formation energy (no corrections) (eV/atom)
1,-0.52
2,-0.72
3,0.21
4,-0.37
5,0.27
6,-0.43
7,-0.71
8,-0.40